[1]
YTePb2: optimized geometry, PBE.

Geometry as POSCAR:
```
YTePb2
1.0
4.122 0.000 0.000
0.000 4.377 0.000
-1.349 0.000 6.829
Y Te Pb
1 1 2
direct
0.000 0.000 0.000
0.460 0.500 0.849
0.402 0.500 0.308
0.908 0.000 0.492
```

## Properties
Formation energy without anion corrections (eV per atom): -0.52
Crystal system: monoclinic
M_tot (μB/f.u.): 0.000

[2]
BaTlTcO6: optimized geometry, PBE.

Geometry as POSCAR:
```
BaTlTcO6
1.0
2.796 -5.173 0.000
2.796 5.173 0.000
-0.423 0.000 5.470
Ba Tl Tc O
1 1 1 6
direct
0.000 0.000 0.000
0.661 0.339 0.500
0.333 0.667 0.500
0.003 0.650 0.689
0.054 0.467 0.266
0.297 0.399 0.678
0.350 0.997 0.311
0.533 0.946 0.734
0.601 0.703 0.322
```

## Properties
Formation energy without anion corrections (eV per atom): -1.47
Crystal system: monoclinic
M_tot (μB/f.u.): 0.035

[3]
YScRe2: optimized geometry, PBE.

Geometry as POSCAR:
```
YScRe2
1.0
0.000 3.348 3.348
3.348 0.000 3.348
3.348 3.348 0.000
Y Sc Re
1 1 2
direct
0.000 0.000 0.000
0.500 0.500 0.500
0.250 0.250 0.250
0.750 0.750 0.750
```

## Properties
Distance to the lowest polymorph of the same formula (eV/atom): 0.437
Calculated formation energy (eV/atom): 0.39
Crystal system: cubic
M_tot (μB/f.u.): 0.000

[4]
HgI2O: optimized geometry, PBE.

Geometry as POSCAR:
```
HgI2O
1.0
-3.717 3.717 5.274
3.717 -3.717 5.274
3.717 3.717 -5.274
Hg I O
2 4 2
direct
0.375 0.625 0.750
0.625 0.375 0.250
0.000 0.000 0.000
0.000 0.000 0.500
0.000 0.500 0.000
0.500 0.000 0.500
0.125 0.875 0.250
0.875 0.125 0.750
```

## Properties
Formation energy without anion corrections (eV per atom): 0.07
Distance to the lowest polymorph of the same formula (eV/atom): 0.000
Crystal system: tetragonal
M_tot (μB/f.u.): 0.000

[5]
YHf: optimized geometry, PBE.

Geometry as POSCAR:
```
YHf
1.0
3.302 0.000 0.000
0.000 3.302 0.000
0.000 0.000 4.819
Y Hf
1 1
direct
0.000 0.000 0.000
0.500 0.500 0.500
```

## Properties
Calculated formation energy (eV/atom): 0.21
Crystal system: tetragonal
M_tot (μB/f.u.): 0.000

[6]
Li6ScCl8: optimized geometry, PBE.

Geometry as POSCAR:
```
Li6ScCl8
1.0
0.000 5.210 5.210
5.210 0.000 5.210
5.210 5.210 0.000
Li Sc Cl
6 1 8
direct
0.000 0.000 0.500
0.000 0.500 0.000
0.000 0.500 0.500
0.500 0.000 0.000
0.500 0.000 0.500
0.500 0.500 0.000
0.000 0.000 0.000
0.248 0.248 0.752
0.248 0.752 0.248
0.248 0.752 0.752
0.250 0.250 0.250
0.750 0.750 0.750
0.752 0.248 0.248
0.752 0.248 0.752
0.752 0.752 0.248
```

## Properties
Formation energy without anion corrections (eV per atom): -1.78
Crystal system: cubic
M_tot (μB/f.u.): 1.000

[7]
CdTcPCl2: optimized geometry, PBE.

Geometry as POSCAR:
```
CdTcPCl2
1.0
4.944 0.000 0.000
0.000 4.944 0.000
0.000 0.000 4.638
Cd Tc P Cl
1 1 1 2
direct
0.000 0.000 0.000
0.500 0.500 0.500
0.500 0.500 0.000
0.000 0.500 0.500
0.500 0.000 0.500
```

## Properties
Formation energy without anion corrections (eV per atom): 0.07
Distance to the lowest polymorph of the same formula (eV/atom): 0.000
Crystal system: tetragonal
M_tot (μB/f.u.): 1.427

[8]
Ac4AsIrS2: optimized geometry, PBE.

Geometry as POSCAR:
```
Ac4AsIrS2
1.0
7.652 0.000 0.000
0.000 4.359 0.000
-2.414 0.000 7.316
Ac As Ir S
4 1 1 2
direct
0.239 0.000 0.237
0.242 0.500 0.760
0.758 0.500 0.240
0.761 0.000 0.763
0.000 0.000 0.500
0.000 0.500 0.000
0.500 0.000 0.000
0.500 0.500 0.500
```

## Properties
Formation energy without anion corrections (eV per atom): -1.51
Crystal system: monoclinic
M_tot (μB/f.u.): 0.000

Repeat the sixth record exactly.
Li6ScCl8: optimized geometry, PBE.

Geometry as POSCAR:
```
Li6ScCl8
1.0
0.000 5.210 5.210
5.210 0.000 5.210
5.210 5.210 0.000
Li Sc Cl
6 1 8
direct
0.000 0.000 0.500
0.000 0.500 0.000
0.000 0.500 0.500
0.500 0.000 0.000
0.500 0.000 0.500
0.500 0.500 0.000
0.000 0.000 0.000
0.248 0.248 0.752
0.248 0.752 0.248
0.248 0.752 0.752
0.250 0.250 0.250
0.750 0.750 0.750
0.752 0.248 0.248
0.752 0.248 0.752
0.752 0.752 0.248
```

## Properties
Formation energy without anion corrections (eV per atom): -1.78
Crystal system: cubic
M_tot (μB/f.u.): 1.000

The highest M_tot belongs to which entry? CdTcPCl2

M_tot of number 8 (Ac4AsIrS2)? 0.000 μB/f.u.